# DyErMoO6

DyErMoO6 after structural relaxation (GGA+U, Alexandria via LeMat-Bulk).

Results
For the electronic total energy, the calculation gives -70.1 eV per formula unit. For the density of states at the Fermi level, the calculation gives 0.000 states/eV/atom.

Cell lengths 4.743, 5.482, 5.482 Å; angles 120.00, 90.00, 90.00 degrees
Fractional coordinates of all 9 atoms:
Dy 0.500 0.667 0.333
Er 0.000 0.333 0.667
Mo 0.500 0.000 0.000
O 0.730 0.699 0.707
O 0.730 0.293 0.992
O 0.730 0.008 0.301
O 0.270 0.293 0.301
O 0.270 0.699 0.992
O 0.270 0.008 0.707